(1)
The following is a PBE calculation of MgMnHg2 after structural relaxation, from Alexandria.

Values from the calculation:
**Energy of formation from the pure elements**: 61 meV per atom
**Total energy**: -2.780 eV/atom
**ρ**: 10121 kg/m3

a b c (Å): 3.3073 3.3736 7.8289
angles (deg): 64.47 90.00 90.00
Last column: magnetic moment on the atom in μB.
Positions (direct):
Hg: 0.0000 0.0106 0.9882  -0.02
Hg: 0.0000 0.4894 0.5118  -0.02
Mg: 0.5000 0.2500 0.2500  -0.01
Mn: 0.5000 0.7500 0.7500  3.86



(2)
The following is a PBE calculation of Ba3RhPb2 after structural relaxation, from Alexandria.

Values from the calculation:
**Energy of formation from the pure elements**: -351 meV per atom
**Total energy**: -3.773 eV/atom
**ρ**: 6463 kg/m3

a b c (Å): 7.5573 7.5573 8.8248
angles (deg): 77.05 77.05 83.32
Positions (direct):
Ba: 0.4049 0.5951 0.2500
Ba: 0.5951 0.4049 0.7500
Ba: 0.0870 0.2381 0.0323
Ba: 0.7619 0.9130 0.4677
Ba: 0.9130 0.7619 0.9677
Ba: 0.2381 0.0870 0.5323
Rh: 0.7191 0.2809 0.2500
Rh: 0.2809 0.7191 0.7500
Pb: 0.9309 0.4836 0.3476
Pb: 0.5164 0.0691 0.1524
Pb: 0.4836 0.9309 0.8476
Pb: 0.0691 0.5164 0.6524



(3)
The following is a PBE calculation of GdBeIn after structural relaxation, from Alexandria.

Values from the calculation:
**Energy of formation from the pure elements**: -195 meV per atom
**Total energy**: -7.044 eV/atom
**ρ**: 7015 kg/m3

a b c (Å): 4.5485 4.5485 4.5485
angles (deg): 60.00 60.00 60.00
Last column: magnetic moment on the atom in μB.
Positions (direct):
Be: 0.2500 0.2500 0.2500  -0.01
Gd: 0.5000 0.5000 0.5000  7.01
In: 0.0000 0.0000 0.0000  -0.02



(4)
The following is a PBE calculation of SrRh3S after structural relaxation, from Alexandria.

Values from the calculation:
**Formation energy (no corrections)**: -0.3282 eV/atom
**Total energy**: -5.901 eV/atom
**ρ**: 7691 kg/m3

a b c (Å): 4.5225 4.5225 4.5225
angles (deg): 90.00 90.00 90.00
Positions (direct):
Sr: 0.5000 0.5000 0.5000
S: 0.0000 0.0000 0.0000
Rh: 0.0000 0.5000 0.0000
Rh: 0.0000 0.0000 0.5000
Rh: 0.5000 0.0000 0.0000



(5)
The following is a PBE calculation of Cr2RuRh after structural relaxation, from Alexandria.

Values from the calculation:
**Energy of formation from the pure elements**: 27 meV per atom
**Total energy**: -8.941 eV/atom
**ρ**: 9870 kg/m3

a b c (Å): 3.9630 2.6832 5.0516
angles (deg): 74.71 90.00 90.00
Positions (direct):
Ru: 0.5000 0.7911 0.7899
Rh: 0.0000 0.4574 0.4629
Cr: 0.0000 0.1889 0.9945
Cr: 0.5000 0.0627 0.2527



(6)
The following is a PBE calculation of TlTe2Pb after structural relaxation, from Alexandria.

Values from the calculation:
**Formation energy (no corrections)**: -0.1674 eV/atom
**Total energy**: -3.257 eV/atom
**ρ**: 7763 kg/m3

a b c (Å): 6.7039 6.7039 6.2131
angles (deg): 91.66 91.66 30.73
Positions (direct):
Pb: 0.2466 0.2466 0.1833
Te: 0.0055 0.0055 0.1132
Te: 0.7557 0.7557 0.5827
Tl: 0.4921 0.4921 0.6208



(7)
The following is a PBE calculation of Ni3Ir2 after structural relaxation, from Alexandria.

Values from the calculation:
**Energy of formation from the pure elements**: 51 meV per atom
**Total energy**: -6.962 eV/atom
**ρ**: 14702 kg/m3

a b c (Å): 10.4593 2.6581 2.6581
angles (deg): 60.00 97.30 97.30
Last column: magnetic moment on the atom in μB.
Positions (direct):
Ir: 0.2026 0.4009 0.4009  0.21
Ir: 0.7974 0.5991 0.5991  0.21
Ni: 0.0000 0.0000 0.0000  0.37
Ni: 0.5950 0.1983 0.1983  0.58
Ni: 0.4050 0.8017 0.8017  0.58



(8)
The following is a PBE calculation of TaTi2Te6 after structural relaxation, from Alexandria.

Values from the calculation:
**Formation energy (no corrections)**: -0.3647 eV/atom
**Total energy**: -5.531 eV/atom
**ρ**: 7361 kg/m3

a b c (Å): 6.8433 7.0504 9.7637
angles (deg): 90.00 86.65 90.00
Positions (direct):
Ta: 0.5000 0.5000 0.0000
Ta: 0.0000 0.0000 0.5000
Ti: 0.9500 0.3431 0.7473
Ti: 0.5500 0.8431 0.7527
Ti: 0.4500 0.1569 0.2473
Ti: 0.0500 0.6569 0.2527
Te: 0.8281 0.9785 0.2494
Te: 0.8277 0.6531 0.5778
Te: 0.8472 0.6770 0.9159
Te: 0.6528 0.1770 0.5841
Te: 0.6723 0.1531 0.9222
Te: 0.6719 0.4785 0.2506
Te: 0.1719 0.0215 0.7506
Te: 0.1723 0.3469 0.4222
Te: 0.1528 0.3230 0.0841
Te: 0.3472 0.8230 0.4159
Te: 0.3277 0.8469 0.0778
Te: 0.3281 0.5215 0.7494